(one)
First-principles (PBE-GGA) data for crystalline YPtW2 at its relaxed geometry, as listed in the Alexandria database.

a = 3.422 Å, b = 3.422 Å, c = 6.763 Å
α = 90.00°, β = 90.00°, γ = 90.00°
Fractional positions:
Y 0.000 0.000 0.000
Pt 0.000 0.000 0.500
W 0.500 0.500 0.317
W 0.500 0.500 0.683

- Density of states at the Fermi level: 5.59 states/eV/cell
- Calculated density: 13.66 g cm⁻³

***

(two)
First-principles (PBE-GGA) data for crystalline YPtW2 at its relaxed geometry, as listed in the Alexandria database.

a = 10.052 Å, b = 10.052 Å, c = 10.052 Å
α = 16.67°, β = 16.67°, γ = 16.67°
Fractional positions:
Y 0.000 0.000 0.000
Pt 0.500 0.500 0.500
W 0.242 0.242 0.242
W 0.758 0.758 0.758

- Density of states at the Fermi level: 3.94 states/eV/cell
- Calculated density: 14.85 g cm⁻³

***

The structure with the most favorable energy is (one); the runner-up is 84 meV/atom above it.

***

(one)
First-principles (PBE-GGA) data for crystalline ZnPtW3 at its relaxed geometry, as listed in the Alexandria database.

a = 4.489 Å, b = 4.489 Å, c = 4.489 Å
α = 90.00°, β = 90.00°, γ = 90.00°
Fractional positions:
Zn 0.000 0.000 0.000
Pt 0.500 0.500 0.500
W 0.000 0.000 0.500
W 0.000 0.500 0.000
W 0.500 0.000 0.000

- Density of states at the Fermi level: 4.63 states/eV/cell
- Calculated density: 14.90 g cm⁻³

***

(two)
First-principles (PBE-GGA) data for crystalline ZnPtW3 at its relaxed geometry, as listed in the Alexandria database.

a = 4.791 Å, b = 4.791 Å, c = 4.791 Å
α = 90.00°, β = 90.00°, γ = 90.00°
Fractional positions:
Zn 0.000 0.000 0.000
Pt 0.500 0.500 0.500
W 0.000 0.500 0.500
W 0.500 0.000 0.500
W 0.500 0.500 0.000

- Density of states at the Fermi level: 6.10 states/eV/cell
- Calculated density: 12.26 g cm⁻³

***

The structure with the most favorable energy is (one); the runner-up is 353 meV/atom above it.

***

(one)
First-principles (PBE-GGA) data for crystalline ZnPt3W at its relaxed geometry, as listed in the Alexandria database.

a = 4.859 Å, b = 4.859 Å, c = 4.859 Å
α = 90.00°, β = 90.00°, γ = 90.00°
Fractional positions:
Zn 0.000 0.000 0.000
Pt 0.000 0.500 0.500
Pt 0.500 0.000 0.500
Pt 0.500 0.500 0.000
W 0.500 0.500 0.500

- Density of states at the Fermi level: 6.00 states/eV/cell
- Calculated density: 12.08 g cm⁻³

***

(two)
First-principles (PBE-GGA) data for crystalline ZnPt3W at its relaxed geometry, as listed in the Alexandria database.

a = 4.542 Å, b = 4.542 Å, c = 4.542 Å
α = 90.00°, β = 90.00°, γ = 90.00°
Fractional positions:
Zn 0.000 0.000 0.000
Pt 0.000 0.000 0.500
Pt 0.000 0.500 0.000
Pt 0.500 0.000 0.000
W 0.500 0.500 0.500

- Density of states at the Fermi level: 3.80 states/eV/cell
- Calculated density: 14.79 g cm⁻³

***

The structure with the most favorable energy is (one); the runner-up is 58 meV/atom above it.

***

(one)
First-principles (PBE-GGA) data for crystalline ZrPtW at its relaxed geometry, as listed in the Alexandria database.

a = 4.450 Å, b = 4.450 Å, c = 4.450 Å
α = 60.00°, β = 60.00°, γ = 60.00°
Fractional positions:
Zr 0.000 0.000 0.000
Pt 0.250 0.250 0.250
W 0.500 0.500 0.500

- Density of states at the Fermi level: 4.42 states/eV/cell
- Calculated density: 12.53 g cm⁻³

***

(two)
First-principles (PBE-GGA) data for crystalline ZrPtW at its relaxed geometry, as listed in the Alexandria database.

a = 4.710 Å, b = 4.710 Å, c = 2.777 Å
α = 90.00°, β = 90.00°, γ = 120.00°
Fractional positions:
Zr 0.000 0.000 0.000
Pt 0.667 0.333 0.500
W 0.333 0.667 0.500

- Density of states at the Fermi level: 2.65 states/eV/cell
- Calculated density: 14.63 g cm⁻³

***

(three)
First-principles (PBE-GGA) data for crystalline ZrPtW at its relaxed geometry, as listed in the Alexandria database.

a = 2.891 Å, b = 2.891 Å, c = 7.331 Å
α = 90.00°, β = 90.00°, γ = 120.00°
Fractional positions:
Zr 0.000 0.000 0.000
Pt 0.333 0.667 0.337
W 0.667 0.333 0.642

- Density of states at the Fermi level: 3.65 states/eV/cell
- Calculated density: 14.71 g cm⁻³

***

(four)
First-principles (PBE-GGA) data for crystalline ZrPtW at its relaxed geometry, as listed in the Alexandria database.

a = 5.533 Å, b = 5.533 Å, c = 5.533 Å
α = 149.52°, β = 140.58°, γ = 50.63°
Fractional positions:
Zr 0.000 0.000 0.000
Pt 0.684 0.684 0.000
W 0.319 0.319 0.000

- Density of states at the Fermi level: 2.94 states/eV/cell
- Calculated density: 14.38 g cm⁻³

***

The structure with the most favorable energy is (four); the runner-up is 25 meV/atom above it.

***

(one)
First-principles (PBE-GGA) data for crystalline ZrPtW3 at its relaxed geometry, as listed in the Alexandria database.

a = 4.730 Å, b = 4.730 Å, c = 4.730 Å
α = 90.00°, β = 90.00°, γ = 90.00°
Fractional positions:
Zr 0.000 0.000 0.000
Pt 0.500 0.500 0.500
W 0.000 0.000 0.500
W 0.000 0.500 0.000
W 0.500 0.000 0.000

- Density of states at the Fermi level: 7.39 states/eV/cell
- Calculated density: 13.15 g cm⁻³

***

(two)
First-principles (PBE-GGA) data for crystalline ZrPtW3 at its relaxed geometry, as listed in the Alexandria database.

a = 4.792 Å, b = 4.792 Å, c = 4.792 Å
α = 90.00°, β = 90.00°, γ = 90.00°
Fractional positions:
Zr 0.000 0.000 0.000
Pt 0.500 0.500 0.500
W 0.000 0.500 0.500
W 0.500 0.000 0.500
W 0.500 0.500 0.000

- Density of states at the Fermi level: 6.67 states/eV/cell
- Calculated density: 12.64 g cm⁻³

***

The structure with the most favorable energy is (two); the runner-up is 847 meV/atom above it.

***

(one)
First-principles (PBE-GGA) data for crystalline Y3Pt2 at its relaxed geometry, as listed in the Alexandria database.

a = 8.010 Å, b = 3.987 Å, c = 15.783 Å
α = 90.00°, β = 90.00°, γ = 90.00°
Fractional positions:
Y 0.016 0.250 0.101
Y 0.129 0.750 0.431
Y 0.179 0.250 0.725
Y 0.321 0.750 0.225
Y 0.371 0.250 0.931
Y 0.484 0.750 0.601
Y 0.516 0.250 0.399
Y 0.629 0.750 0.069
Y 0.679 0.250 0.775
Y 0.821 0.750 0.275
Y 0.871 0.250 0.569
Y 0.984 0.750 0.899
Pt 0.097 0.250 0.289
Pt 0.246 0.750 0.043
Pt 0.254 0.250 0.543
Pt 0.403 0.750 0.789
Pt 0.597 0.250 0.211
Pt 0.746 0.750 0.457
Pt 0.754 0.250 0.957
Pt 0.903 0.750 0.711

- Density of states at the Fermi level: 13.77 states/eV/cell
- Calculated density: 8.66 g cm⁻³

***

(two)
First-principles (PBE-GGA) data for crystalline Y3Pt2 at its relaxed geometry, as listed in the Alexandria database.

a = 7.574 Å, b = 7.068 Å, c = 7.332 Å
α = 63.44°, β = 56.58°, γ = 59.98°
Fractional positions:
Y 0.000 0.000 0.000
Y 0.220 0.646 0.454
Y 0.250 0.250 0.250
Y 0.570 0.796 0.604
Y 0.646 0.220 0.680
Y 0.796 0.570 0.030
Pt 0.230 0.594 0.851
Pt 0.399 0.925 0.020
Pt 0.594 0.230 0.325
Pt 0.925 0.399 0.656

- Density of states at the Fermi level: 7.72 states/eV/cell
- Calculated density: 7.92 g cm⁻³

***

(three)
First-principles (PBE-GGA) data for crystalline Y3Pt2 at its relaxed geometry, as listed in the Alexandria database.

a = 10.086 Å, b = 10.086 Å, c = 10.086 Å
α = 159.84°, β = 159.84°, γ = 28.67°
Fractional positions:
Y 0.000 0.000 0.000
Y 0.174 0.174 0.000
Y 0.826 0.826 0.000
Pt 0.408 0.408 0.000
Pt 0.592 0.592 0.000

- Density of states at the Fermi level: 4.45 states/eV/cell
- Calculated density: 8.95 g cm⁻³

***

The structure with the most favorable energy is (one); the runner-up is 100 meV/atom above it.